First-principles (GGA-PBEsol) data for an optimized crystal structure of Mg2NiNF, as listed in Alexandria via LeMat-Bulk.

a b c (Å): 4.2837 4.2837 3.5157
angles (deg): 90.00 90.00 90.00
Closest atoms and distances in Å follow each position.
Space group P4/mmm (No. 123)
Unique sites:
Mg 0.0000 0.5000 0.0000 (multiplicity 2)  2 N 2.14
Ni 0.0000 0.0000 0.5000 (multiplicity 1)  2 N 1.76
N 0.0000 0.0000 0.0000 (multiplicity 1)  2 Ni 1.76
F 0.5000 0.5000 0.5000 (multiplicity 1)  8 Mg 2.77, 4 Ni 3.03

VASP energy, eV/atom: -4.966
Spin magnetization, μB per formula unit: 0.00
Uncorrected formation energy, meV per atom: -957

First-principles (GGA-PBEsol) data for an optimized crystal structure of MgOsN2F, as listed in Alexandria via LeMat-Bulk.

a b c (Å): 3.9689 3.9689 3.4293
angles (deg): 90.00 90.00 90.00
Closest atoms and distances in Å follow each position.
Space group P4/mmm (No. 123)
Unique sites:
Mg 0.0000 0.0000 0.0000 (multiplicity 1)  2 F 1.71
Os 0.5000 0.5000 0.5000 (multiplicity 1)  8 N 2.62, 4 F 2.81
N 0.0000 0.5000 0.0000 (multiplicity 2)  2 Mg 1.98
F 0.0000 0.0000 0.5000 (multiplicity 1)  2 Mg 1.71

VASP energy, eV/atom: -5.552
Spin magnetization, μB per formula unit: 2.76
Uncorrected formation energy, meV per atom: 1030

First-principles (GGA-PBEsol) data for an optimized crystal structure of RbMgN2F, as listed in Alexandria via LeMat-Bulk.

a b c (Å): 4.3341 4.3341 4.1332
angles (deg): 90.00 90.00 90.00
Closest atoms and distances in Å follow each position.
Space group P4/mmm (No. 123)
Unique sites:
Rb 0.0000 0.0000 0.0000 (multiplicity 1)  8 N 2.99, 4 F 3.06
Mg 0.5000 0.5000 0.5000 (multiplicity 1)  2 F 2.07, 4 N 2.17
N 0.0000 0.5000 0.5000 (multiplicity 2)  2 Mg 2.17
F 0.5000 0.5000 0.0000 (multiplicity 1)  2 Mg 2.07

VASP energy, eV/atom: -4.446
Spin magnetization, μB per formula unit: 4.00
Uncorrected formation energy, meV per atom: -102

- Look up the VASP energy of the first one.
  -4.966 eV/atom

- What is the spin magnetization in the second record?
  2.76 μB per formula unit